First-principles (PBE-GGA) data for crystalline La2ThPt3 at its relaxed geometry, as listed in the Alexandria database.

abc: 14.0354 13.3816 7.3409
angles: 79.45 69.60 30.94
Element x y z (fractional)
La: 0.0419 0.0419 0.2081
La: 0.1250 0.1250 0.6250
La: 0.2081 0.2081 0.0419
La: 0.3750 0.3750 0.8750
La: 0.6250 0.6250 0.1250
La: 0.7919 0.7919 0.9581
La: 0.8750 0.8750 0.3750
La: 0.9581 0.9581 0.7919
Th: 0.2915 0.2915 0.4585
Th: 0.4585 0.4585 0.2915
Th: 0.5415 0.5415 0.7085
Th: 0.7085 0.7085 0.5415
Pt: 0.0404 0.5393 0.2190
Pt: 0.1346 0.6154 0.6154
Pt: 0.2190 0.7013 0.0404
Pt: 0.2987 0.7810 0.4607
Pt: 0.3846 0.8654 0.8654
Pt: 0.4607 0.9596 0.2987
Pt: 0.5393 0.0404 0.7013
Pt: 0.6154 0.1346 0.1346
Pt: 0.7013 0.2190 0.5393
Pt: 0.7810 0.2987 0.9596
Pt: 0.8654 0.3846 0.3846
Pt: 0.9596 0.4607 0.7810

Output
Distance to the lowest polymorph of the same formula = 0 meV/atom
DFT formation energy = -1.20 eV/atom
Total energy = -170.41 eV per cell

=====

First-principles (PBE-GGA) data for crystalline Li2Sm5Tl5 at its relaxed geometry, as listed in the Alexandria database.

abc: 5.5628 5.5628 13.2004
angles: 105.85 105.85 57.69
Element x y z (fractional)
Li: 0.1969 0.1969 0.1990
Li: 0.8031 0.8031 0.8010
Sm: 0.0000 0.0000 0.5000
Sm: 0.3478 0.3478 0.0182
Sm: 0.4250 0.4250 0.6916
Sm: 0.5750 0.5750 0.3084
Sm: 0.6522 0.6522 0.9818
Tl: 0.0000 0.0000 0.0000
Tl: 0.1283 0.1283 0.7786
Tl: 0.2949 0.2949 0.4215
Tl: 0.7051 0.7051 0.5785
Tl: 0.8717 0.8717 0.2214

Output
DFT formation energy = -0.22 eV/atom
Total energy = -41.86 eV per cell

=====

First-principles (PBE-GGA) data for crystalline TiBr3N at its relaxed geometry, as listed in the Alexandria database.

abc: 6.4013 6.8649 9.5133
angles: 87.60 73.29 62.42
Element x y z (fractional)
Ti: 0.0000 0.0000 0.0000
Ti: 0.4019 0.0002 0.0001
Br: 0.1992 0.8253 0.2079
Br: 0.2029 0.1749 0.7922
Br: 0.4265 0.6621 0.8651
Br: 0.5741 0.0944 0.1876
Br: 0.8281 0.9056 0.8125
Br: 0.9753 0.3381 0.1350
N: 0.5348 0.7930 0.4882
N: 0.8244 0.2077 0.5109

Output
Distance to the lowest polymorph of the same formula = 0 meV/atom
E_form (uncorrected) = 0.156 eV per atom
Total energy = -40.91 eV per cell

=====

First-principles (PBE-GGA) data for crystalline Zn3InNi at its relaxed geometry, as listed in the Alexandria database.

abc: 4.6357 4.6357 4.6357
angles: 90.00 90.00 90.00
Element x y z (fractional)
Zn: 0.0000 0.0000 0.5000
Zn: 0.0000 0.5000 0.0000
Zn: 0.5000 0.0000 0.0000
In: 0.5000 0.5000 0.5000
Ni: 0.0000 0.0000 0.0000

Output
Distance to the lowest polymorph of the same formula = 0 meV/atom
DFT formation energy = 0.15 eV/atom
Total energy = -11.62 eV per cell

=====

Q: Which value of total energy does entry 1 give?
A: -170.41 eV per cell